*1*
! SCAN YCu2Mo, single point on PBEsol structure; values from VASP
! - Calculated density: 7.95 g/cm³
! - DOS(E_F): 0.682 states/eV per atom
&SYSTEM
  ibrav = 0, nat = 4, ntyp = 3
/
ATOMIC_SPECIES
Y 88.91 Y.upf
Cu 63.55 Cu.upf
Mo 95.94 Mo.upf
CELL_PARAMETERS angstrom
3.2339 0.0000 0.0000
0.0000 3.2339 0.0000
0.0000 0.0000 6.2271
ATOMIC_POSITIONS crystal
Y 0.0000 0.0000 0.0000
Cu 0.5000 0.5000 0.2957
Cu 0.5000 0.5000 0.7043
Mo 0.0000 0.0000 0.5000

---

*2*
! SCAN YCu2Mo, single point on PBEsol structure; values from VASP
! - Calculated density: 7.98 g/cm³
! - DOS(E_F): 0.674 states/eV per atom
&SYSTEM
  ibrav = 0, nat = 16, ntyp = 3
/
ATOMIC_SPECIES
Y 88.91 Y.upf
Cu 63.55 Cu.upf
Mo 95.94 Mo.upf
CELL_PARAMETERS angstrom
6.3797 0.0000 0.0000
0.0000 6.3797 0.0000
0.0000 0.0000 6.3797
ATOMIC_POSITIONS crystal
Y 0.0000 0.0000 0.0000
Y 0.0000 0.5000 0.5000
Y 0.5000 0.0000 0.5000
Y 0.5000 0.5000 0.0000
Cu 0.2500 0.2500 0.2500
Cu 0.2500 0.2500 0.7500
Cu 0.2500 0.7500 0.2500
Cu 0.2500 0.7500 0.7500
Cu 0.7500 0.2500 0.2500
Cu 0.7500 0.2500 0.7500
Cu 0.7500 0.7500 0.2500
Cu 0.7500 0.7500 0.7500
Mo 0.0000 0.0000 0.5000
Mo 0.0000 0.5000 0.0000
Mo 0.5000 0.0000 0.0000
Mo 0.5000 0.5000 0.5000

---

Quick one: most stable of them? *1*

---

*1*
! SCAN YCuMo2, single point on PBEsol structure; values from VASP
! - Calculated density: 8.58 g/cm³
! - DOS(E_F): 0.760 states/eV per atom
&SYSTEM
  ibrav = 0, nat = 16, ntyp = 3
/
ATOMIC_SPECIES
Y 88.91 Y.upf
Cu 63.55 Cu.upf
Mo 95.94 Mo.upf
CELL_PARAMETERS angstrom
6.4345 0.0000 0.0000
0.0000 6.4345 0.0000
0.0000 0.0000 6.4345
ATOMIC_POSITIONS crystal
Y 0.0000 0.0000 0.0000
Y 0.0000 0.5000 0.5000
Y 0.5000 0.0000 0.5000
Y 0.5000 0.5000 0.0000
Cu 0.2500 0.2500 0.2500
Cu 0.2500 0.7500 0.7500
Cu 0.7500 0.2500 0.7500
Cu 0.7500 0.7500 0.2500
Mo 0.0000 0.0000 0.5000
Mo 0.0000 0.5000 0.0000
Mo 0.2500 0.2500 0.7500
Mo 0.2500 0.7500 0.2500
Mo 0.5000 0.0000 0.0000
Mo 0.5000 0.5000 0.5000
Mo 0.7500 0.2500 0.2500
Mo 0.7500 0.7500 0.7500

---

*2*
! SCAN YCuMo2, single point on PBEsol structure; values from VASP
! - Calculated density: 8.03 g/cm³
! - DOS(E_F): 0.618 states/eV per atom
&SYSTEM
  ibrav = 0, nat = 8, ntyp = 3
/
ATOMIC_SPECIES
Y 88.91 Y.upf
Cu 63.55 Cu.upf
Mo 95.94 Mo.upf
CELL_PARAMETERS angstrom
8.7481 0.0000 0.0000
0.0000 3.3997 0.0000
-1.7124 0.0000 4.7885
ATOMIC_POSITIONS crystal
Y 0.0000 0.0000 0.0000
Y 0.5000 0.5000 0.0000
Cu 0.2358 0.0000 0.7013
Cu 0.7358 0.5000 0.7013
Mo 0.2796 0.5000 0.3270
Mo 0.4982 0.0000 0.5094
Mo 0.7796 0.0000 0.3270
Mo 0.9982 0.5000 0.5094

---

Quick one: most stable of them? *1*

---

*1*
! SCAN Cu3NiN, single point on PBEsol structure; values from VASP
! - Calculated density: 5.65 g/cm³
! - DOS(E_F): 1.006 states/eV per atom
&SYSTEM
  ibrav = 0, nat = 5, ntyp = 3
/
ATOMIC_SPECIES
Cu 63.55 Cu.upf
Ni 58.69 Ni.upf
N 14.01 N.upf
CELL_PARAMETERS angstrom
4.2618 0.0000 0.0000
0.0000 4.2618 0.0000
0.0000 0.0000 4.2618
ATOMIC_POSITIONS crystal
Cu 0.0000 0.0000 0.5000
Cu 0.0000 0.5000 0.0000
Cu 0.5000 0.0000 0.0000
Ni 0.0000 0.0000 0.0000
N 0.5000 0.5000 0.5000

---

*2*
! SCAN Cu3NiN, single point on PBEsol structure; values from VASP
! - Calculated density: 8.31 g/cm³
! - DOS(E_F): 0.156 states/eV per atom
&SYSTEM
  ibrav = 0, nat = 5, ntyp = 3
/
ATOMIC_SPECIES
Cu 63.55 Cu.upf
Ni 58.69 Ni.upf
N 14.01 N.upf
CELL_PARAMETERS angstrom
3.7470 0.0000 0.0000
0.0000 3.7470 0.0000
0.0000 0.0000 3.7470
ATOMIC_POSITIONS crystal
Cu 0.0000 0.0000 0.5000
Cu 0.0000 0.5000 0.0000
Cu 0.5000 0.0000 0.0000
Ni 0.5000 0.5000 0.5000
N 0.0000 0.0000 0.0000

---

Quick one: most stable of them? *2*

---

*1*
! SCAN CuNiN2, single point on PBEsol structure; values from VASP
! - Calculated density: 6.39 g/cm³
! - DOS(E_F): 0.610 states/eV per atom
&SYSTEM
  ibrav = 0, nat = 12, ntyp = 3
/
ATOMIC_SPECIES
Cu 63.55 Cu.upf
Ni 58.69 Ni.upf
N 14.01 N.upf
CELL_PARAMETERS angstrom
2.8406 0.0000 0.0000
-1.4203 2.4601 0.0000
0.0000 0.0000 16.7704
ATOMIC_POSITIONS crystal
Cu 0.0000 0.0000 0.0000
Cu 0.3333 0.6667 0.6667
Cu 0.6667 0.3333 0.3333
Ni 0.0000 0.0000 0.5000
Ni 0.3333 0.6667 0.1667
Ni 0.6667 0.3333 0.8333
N 0.0000 0.0000 0.3955
N 0.0000 0.0000 0.6045
N 0.3333 0.6667 0.0622
N 0.3333 0.6667 0.2711
N 0.6667 0.3333 0.7289
N 0.6667 0.3333 0.9378

---

*2*
! SCAN CuNiN2, single point on PBEsol structure; values from VASP
! - Calculated density: 6.58 g/cm³
! - DOS(E_F): 0.527 states/eV per atom
&SYSTEM
  ibrav = 0, nat = 12, ntyp = 3
/
ATOMIC_SPECIES
Cu 63.55 Cu.upf
Ni 58.69 Ni.upf
N 14.01 N.upf
CELL_PARAMETERS angstrom
2.7738 0.0000 0.0000
-1.3869 2.4022 0.0000
0.0000 0.0000 17.0801
ATOMIC_POSITIONS crystal
Cu 0.0000 0.0000 0.0000
Cu 0.3333 0.6667 0.6667
Cu 0.6667 0.3333 0.3333
Ni 0.0000 0.0000 0.5000
Ni 0.3333 0.6667 0.1667
Ni 0.6667 0.3333 0.8333
N 0.0000 0.0000 0.1066
N 0.0000 0.0000 0.8934
N 0.3333 0.6667 0.5601
N 0.3333 0.6667 0.7733
N 0.6667 0.3333 0.2267
N 0.6667 0.3333 0.4399

---

Quick one: most stable of them? *2*

---

*1*
! SCAN CuTe2PtN, single point on PBEsol structure; values from VASP
! - Calculated density: 9.62 g/cm³
! - DOS(E_F): 0.471 states/eV per atom
&SYSTEM
  ibrav = 0, nat = 5, ntyp = 4
/
ATOMIC_SPECIES
Cu 63.55 Cu.upf
Te 127.60 Te.upf
Pt 195.08 Pt.upf
N 14.01 N.upf
CELL_PARAMETERS angstrom
5.1688 0.0000 0.0000
0.0000 5.1688 0.0000
0.0000 0.0000 3.4112
ATOMIC_POSITIONS crystal
Cu 0.0000 0.0000 0.0000
Te 0.0000 0.5000 0.0000
Te 0.5000 0.0000 0.0000
Pt 0.5000 0.5000 0.5000
N 0.0000 0.0000 0.5000

---

*2*
! SCAN CuTe2PtN, single point on PBEsol structure; values from VASP
! - Calculated density: 8.09 g/cm³
! - DOS(E_F): 0.566 states/eV per atom
&SYSTEM
  ibrav = 0, nat = 5, ntyp = 4
/
ATOMIC_SPECIES
Cu 63.55 Cu.upf
Te 127.60 Te.upf
Pt 195.08 Pt.upf
N 14.01 N.upf
CELL_PARAMETERS angstrom
5.4985 0.0000 0.0000
0.0000 5.4985 0.0000
0.0000 0.0000 3.5857
ATOMIC_POSITIONS crystal
Cu 0.0000 0.0000 0.0000
Te 0.0000 0.5000 0.5000
Te 0.5000 0.0000 0.5000
Pt 0.5000 0.5000 0.5000
N 0.5000 0.5000 0.0000

---

Quick one: most stable of them? *2*

---

*1*
! SCAN TaCuN2, single point on PBEsol structure; values from VASP
! - Calculated density: 12.26 g/cm³
! - DOS(E_F): 0.097 states/eV per atom
&SYSTEM
  ibrav = 0, nat = 16, ntyp = 3
/
ATOMIC_SPECIES
Ta 180.95 Ta.upf
Cu 63.55 Cu.upf
N 14.01 N.upf
CELL_PARAMETERS angstrom
5.2847 0.0000 0.0000
0.0000 5.2847 0.0000
0.0000 0.0000 5.2847
ATOMIC_POSITIONS crystal
Ta 0.0000 0.0000 0.0000
Ta 0.0000 0.5000 0.5000
Ta 0.5000 0.0000 0.5000
Ta 0.5000 0.5000 0.0000
Cu 0.0000 0.0000 0.5000
Cu 0.0000 0.5000 0.0000
Cu 0.5000 0.0000 0.0000
Cu 0.5000 0.5000 0.5000
N 0.2500 0.2500 0.2500
N 0.2500 0.2500 0.7500
N 0.2500 0.7500 0.2500
N 0.2500 0.7500 0.7500
N 0.7500 0.2500 0.2500
N 0.7500 0.2500 0.7500
N 0.7500 0.7500 0.2500
N 0.7500 0.7500 0.7500

---

*2*
! SCAN TaCuN2, single point on PBEsol structure; values from VASP
! - Calculated density: 9.28 g/cm³
&SYSTEM
  ibrav = 0, nat = 12, ntyp = 3
/
ATOMIC_SPECIES
Ta 180.95 Ta.upf
Cu 63.55 Cu.upf
N 14.01 N.upf
CELL_PARAMETERS angstrom
3.1202 0.0000 0.0000
-1.5601 2.7022 0.0000
0.0000 0.0000 17.3589
ATOMIC_POSITIONS crystal
Ta 0.0000 0.0000 0.0000
Ta 0.3333 0.6667 0.6667
Ta 0.6667 0.3333 0.3333
Cu 0.0000 0.0000 0.5000
Cu 0.3333 0.6667 0.1667
Cu 0.6667 0.3333 0.8333
N 0.0000 0.0000 0.3945
N 0.0000 0.0000 0.6055
N 0.3333 0.6667 0.0612
N 0.3333 0.6667 0.2722
N 0.6667 0.3333 0.7278
N 0.6667 0.3333 0.9388

---

Quick one: most stable of them? *2*

---

*1*
! SCAN NaCu3O4, single point on PBEsol structure; values from VASP
! - Calculated density: 5.97 g/cm³
! - DOS(E_F): 0.264 states/eV per atom
&SYSTEM
  ibrav = 0, nat = 32, ntyp = 3
/
ATOMIC_SPECIES
Na 22.99 Na.upf
Cu 63.55 Cu.upf
O 16.00 O.upf
CELL_PARAMETERS angstrom
5.9563 0.0000 0.0000
0.0000 5.9563 0.0000
0.0000 0.0000 8.7099
ATOMIC_POSITIONS crystal
Na 0.0000 0.2552 0.0000
Na 0.0000 0.7448 0.5000
Na 0.2552 0.0000 0.7500
Na 0.7448 0.0000 0.2500
Cu 0.0000 0.2491 0.5000
Cu 0.0000 0.7509 0.0000
Cu 0.2465 0.5000 0.2500
Cu 0.2491 0.0000 0.2500
Cu 0.2563 0.5000 0.7500
Cu 0.5000 0.2465 0.5000
Cu 0.5000 0.2563 0.0000
Cu 0.5000 0.7437 0.5000
Cu 0.5000 0.7535 0.0000
Cu 0.7437 0.5000 0.2500
Cu 0.7509 0.0000 0.7500
Cu 0.7535 0.5000 0.7500
O 0.0219 0.2707 0.2731
O 0.0219 0.7293 0.2269
O 0.2707 0.0219 0.4769
O 0.2707 0.9781 0.0231
O 0.2718 0.4710 0.5330
O 0.2718 0.5290 0.9670
O 0.4710 0.2718 0.2170
O 0.4710 0.7282 0.2830
O 0.5290 0.2718 0.7830
O 0.5290 0.7282 0.7170
O 0.7282 0.4710 0.4670
O 0.7282 0.5290 0.0330
O 0.7293 0.0219 0.5231
O 0.7293 0.9781 0.9769
O 0.9781 0.2707 0.7269
O 0.9781 0.7293 0.7731

---

*2*
! SCAN NaCu3O4, single point on PBEsol structure; values from VASP
! - Calculated density: 4.86 g/cm³
! - DOS(E_F): 0.250 states/eV per atom
&SYSTEM
  ibrav = 0, nat = 16, ntyp = 3
/
ATOMIC_SPECIES
Na 22.99 Na.upf
Cu 63.55 Cu.upf
O 16.00 O.upf
CELL_PARAMETERS angstrom
5.3827 0.0000 0.0000
0.0000 10.6815 0.0000
0.0000 0.0000 3.3001
ATOMIC_POSITIONS crystal
Na 0.0000 0.0000 0.0000
Na 0.5000 0.5000 0.0000
Cu 0.0000 0.2417 0.5000
Cu 0.0000 0.5000 0.5000
Cu 0.0000 0.7583 0.5000
Cu 0.5000 0.0000 0.5000
Cu 0.5000 0.2583 0.5000
Cu 0.5000 0.7417 0.5000
O 0.2367 0.3697 0.5000
O 0.2367 0.6303 0.5000
O 0.2633 0.1303 0.5000
O 0.2633 0.8697 0.5000
O 0.7367 0.1303 0.5000
O 0.7367 0.8697 0.5000
O 0.7633 0.3697 0.5000
O 0.7633 0.6303 0.5000

---

*3*
! SCAN NaCu3O4, single point on PBEsol structure; values from VASP
! - Calculated density: 5.89 g/cm³
! - DOS(E_F): 0.367 states/eV per atom
&SYSTEM
  ibrav = 0, nat = 16, ntyp = 3
/
ATOMIC_SPECIES
Na 22.99 Na.upf
Cu 63.55 Cu.upf
O 16.00 O.upf
CELL_PARAMETERS angstrom
5.3909 0.0000 0.0000
0.0000 5.3909 0.0000
0.0000 0.0000 5.3909
ATOMIC_POSITIONS crystal
Na 0.0000 0.0000 0.0000
Na 0.5000 0.5000 0.5000
Cu 0.0000 0.2500 0.5000
Cu 0.0000 0.7500 0.5000
Cu 0.2500 0.5000 0.0000
Cu 0.5000 0.0000 0.2500
Cu 0.5000 0.0000 0.7500
Cu 0.7500 0.5000 0.0000
O 0.2500 0.2500 0.2500
O 0.2500 0.2500 0.7500
O 0.2500 0.7500 0.2500
O 0.2500 0.7500 0.7500
O 0.7500 0.2500 0.2500
O 0.7500 0.2500 0.7500
O 0.7500 0.7500 0.2500
O 0.7500 0.7500 0.7500

---

Quick one: most stable of them? *3*

---

*1*
! SCAN NaCu2O2, single point on PBEsol structure; values from VASP
! - Calculated density: 5.15 g/cm³
&SYSTEM
  ibrav = 0, nat = 20, ntyp = 3
/
ATOMIC_SPECIES
Na 22.99 Na.upf
Cu 63.55 Cu.upf
O 16.00 O.upf
CELL_PARAMETERS angstrom
6.0911 0.0000 0.0000
0.0000 2.9323 0.0000
0.0000 0.0000 13.1503
ATOMIC_POSITIONS crystal
Na 0.1609 0.2500 0.0756
Na 0.3391 0.7500 0.5756
Na 0.6609 0.2500 0.4244
Na 0.8391 0.7500 0.9244
Cu 0.0995 0.2500 0.7575
Cu 0.1471 0.2500 0.3849
Cu 0.3529 0.7500 0.8849
Cu 0.4005 0.7500 0.2575
Cu 0.5995 0.2500 0.7425
Cu 0.6471 0.2500 0.1151
Cu 0.8529 0.7500 0.6151
Cu 0.9005 0.7500 0.2425
O 0.0657 0.2500 0.6198
O 0.1352 0.2500 0.8965
O 0.3648 0.7500 0.3965
O 0.4343 0.7500 0.1198
O 0.5657 0.2500 0.8802
O 0.6352 0.2500 0.6035
O 0.8648 0.7500 0.1035
O 0.9343 0.7500 0.3802

---

*2*
! SCAN NaCu2O2, single point on PBEsol structure; values from VASP
! - Calculated density: 5.21 g/cm³
&SYSTEM
  ibrav = 0, nat = 40, ntyp = 3
/
ATOMIC_SPECIES
Na 22.99 Na.upf
Cu 63.55 Cu.upf
O 16.00 O.upf
CELL_PARAMETERS angstrom
5.9694 0.0000 0.0000
0.0000 5.9694 0.0000
0.0000 0.0000 13.0275
ATOMIC_POSITIONS crystal
Na 0.0120 0.2500 0.1724
Na 0.2500 0.0120 0.6724
Na 0.2500 0.4880 0.6724
Na 0.4880 0.2500 0.1724
Na 0.5120 0.7500 0.8276
Na 0.7500 0.5120 0.3276
Na 0.7500 0.9880 0.3276
Na 0.9880 0.7500 0.8276
Cu 0.0021 0.7500 0.1379
Cu 0.0016 0.7500 0.5064
Cu 0.2500 0.5021 0.3621
Cu 0.2500 0.5016 0.9936
Cu 0.2500 0.9979 0.3621
Cu 0.2500 0.9984 0.9936
Cu 0.4979 0.7500 0.1379
Cu 0.4984 0.7500 0.5064
Cu 0.5016 0.2500 0.4936
Cu 0.5021 0.2500 0.8621
Cu 0.7500 0.0016 0.0064
Cu 0.7500 0.0021 0.6379
Cu 0.7500 0.4984 0.0064
Cu 0.7500 0.4979 0.6379
Cu 0.9984 0.2500 0.4936
Cu 0.9979 0.2500 0.8621
O 0.0317 0.2500 0.3533
O 0.0339 0.7500 0.3672
O 0.2500 0.0317 0.8533
O 0.2500 0.4683 0.8533
O 0.2500 0.5339 0.1328
O 0.2500 0.9661 0.1328
O 0.4661 0.7500 0.3672
O 0.4683 0.2500 0.3533
O 0.5317 0.7500 0.6467
O 0.5339 0.2500 0.6328
O 0.7500 0.0339 0.8672
O 0.7500 0.4661 0.8672
O 0.7500 0.5317 0.1467
O 0.7500 0.9683 0.1467
O 0.9661 0.2500 0.6328
O 0.9683 0.7500 0.6467

---

Quick one: most stable of them? *1*